A plane-wave DFT calculation with PBE+U was carried out for a relaxed structure of ZnFeO2.

Geometry as CIF:
```
data_ZnFeO2
_cell_length_a 3.103
_cell_length_b 15.027
_cell_length_c 4.056
_cell_angle_alpha 90.00
_cell_angle_beta 90.00
_cell_angle_gamma 90.00
_symmetry_space_group_name_H-M 'C m c m'
_symmetry_Int_Tables_number 63
_symmetry_space_group_name_Hall '-C 2c 2'
loop_
_atom_site_label
_atom_site_fract_x
_atom_site_fract_y
_atom_site_fract_z
Zn1 0.000 0.177 0.250
Fe1 0.000 0.431 0.250
O1 0.000 0.304 0.250
O2 0.000 0.431 0.750
```

Calculated values
excess energy over the best structure of this formula in the dataset: 315 meV/atom
energy: -5.267 eV per atom